# 1
MoRu2BrF | GGA+U | optimized geometry

Summary:
- VASP energy (eV per atom) = -4.915

a b c (Å): 4.806 4.806 4.038
angles (deg): 90.00 90.00 90.00
Fractional coordinates of all 5 atoms:
Mo (0.000, 0.000, 0.000)
Ru (0.000, 0.500, 0.000)
Ru (0.500, 0.000, 0.000)
Br (0.500, 0.500, 0.500)
F (0.000, 0.000, 0.500)

---

# 2
Tl2MoBr2F4 | GGA+U | optimized geometry

Summary:
- VASP energy (eV per atom) = -4.280

a b c (Å): 6.807 6.807 6.807
angles (deg): 119.64 119.64 90.63
Fractional coordinates of all 9 atoms:
Tl (0.250, 0.750, 0.500)
Tl (0.750, 0.250, 0.500)
Mo (0.000, 0.000, 0.000)
Br (0.275, 0.275, 0.000)
Br (0.725, 0.725, 0.000)
F (0.204, 0.204, 0.408)
F (0.204, 0.796, 0.000)
F (0.796, 0.204, 0.000)
F (0.796, 0.796, 0.592)

---

# 3
ZrMo2BrF | GGA+U | optimized geometry

Summary:
- VASP energy (eV per atom) = -4.329

a b c (Å): 5.539 5.539 5.145
angles (deg): 90.00 90.00 90.00
Fractional coordinates of all 5 atoms:
Zr (0.000, 0.000, 0.000)
Mo (0.000, 0.500, 0.000)
Mo (0.500, 0.000, 0.000)
Br (0.000, 0.000, 0.500)
F (0.500, 0.500, 0.500)